# BiIr2Rh2

A relaxed BiIr2Rh2 crystal (GGA-PBE, the Alexandria database).

The space group is P4/mbm (No. 127) and the conventional cell measures 7.7691, 7.7691 and 2.8428 Å, with angles of 90.00, 90.00 and 90.00 degrees. The asymmetric unit holds Bi at (0.0000, 0.0000, 0.0000), Ir at (0.1192, 0.3808, 0.0000) and Rh at (0.1759, 0.6759, 0.5000).

For the energy of formation, the calculation gives 318 meV per atom. As for the total magnetic moment: 0.00 μB per formula unit.